DFT (PBE) results for BaNd2Cu after structural relaxation.

Properties
Energy relative to the elements in eV per atom: 0.046
Density of states at the Fermi level in states/eV per cell: 5.7
E above lowest polymorph in eV/atom: 0.000

extended XYZ file:
```
4
Lattice="3.7309 0.0000 0.0000 0.0000 3.7309 0.0000 0.0000 0.0000 9.7482" Properties=species:S:1:pos:R:3 pbc="T T T"
Ba 0.0000 0.0000 0.0000
Nd 1.8654 1.8654 3.2657
Nd 1.8654 1.8654 6.4825
Cu 0.0000 0.0000 4.8741
```